LiCo2C2O7 | PBE with a Hubbard U | relaxed

## Properties
total magnetic moment	0.57	μB per atom
final energy	-6.765	eV per atom

Cell: 4.813 4.813 15.635 Å, 88.74 88.74 120.05°
Atoms (fractional coordinates):
O1 0.075 0.691 0.915
Co1 0.688 0.370 0.861
Li1 0.999 0.010 0.004
Co2 0.657 0.311 0.634
O2 0.070 0.375 0.585
O3 0.912 0.309 0.085
O4 0.626 0.313 0.754
C1 0.653 0.329 0.086
O5 0.674 0.607 0.086
O6 0.607 0.674 0.586
O7 0.691 0.075 0.415
C2 0.329 0.653 0.586
O8 0.616 0.949 0.912
O9 0.313 0.626 0.254
Co3 0.370 0.688 0.361
C3 0.685 0.343 0.413
O10 0.409 0.332 0.415
O11 0.375 0.070 0.085
C4 0.343 0.685 0.913
O12 0.309 0.912 0.585
O13 0.332 0.409 0.915
O14 0.949 0.616 0.412
Li2 0.010 0.999 0.504
Co4 0.311 0.657 0.134